(1)
A plane-wave DFT calculation with meta-GGA SCAN was carried out for a PBEsol-optimized structure of Ba2NdDyTi2Cu2O11. Values from VASP.

Cell and atoms, written as Quantum ESPRESSO input:
```
&SYSTEM
  ibrav = 0, nat = 19, ntyp = 6
/
ATOMIC_SPECIES
Nd 144.24 Nd.upf
Ti 47.87 Ti.upf
O 16.00 O.upf
Ba 137.33 Ba.upf
Dy 162.50 Dy.upf
Cu 63.55 Cu.upf
CELL_PARAMETERS angstrom
3.8661 0.0000 0.0000
0.0000 3.8661 0.0000
0.0000 0.0000 15.6368
ATOMIC_POSITIONS angstrom
Nd 1.9330 1.9330 0.0000
Ti 0.0000 0.0000 13.6336
Ti 0.0000 0.0000 2.0032
O 1.9330 0.0000 13.8502
O 1.9330 0.0000 1.7866
O 0.0000 1.9330 13.8502
O 0.0000 1.9330 6.4073
O 1.9330 0.0000 6.4073
O 0.0000 1.9330 9.2295
O 0.0000 0.0000 0.0000
O 0.0000 0.0000 3.8550
O 1.9330 0.0000 9.2295
O 0.0000 1.9330 1.7866
O 0.0000 0.0000 11.7818
Ba 1.9330 1.9330 11.4105
Ba 1.9330 1.9330 4.2263
Dy 1.9330 1.9330 7.8184
Cu 0.0000 0.0000 9.3799
Cu 0.0000 0.0000 6.2569
```

As for the space-group type: P4/mmm (123).



(2)
A plane-wave DFT calculation with meta-GGA SCAN was carried out for a PBEsol-optimized structure of Cs2CaS. Values from VASP.

Cell and atoms, written as Quantum ESPRESSO input:
```
&SYSTEM
  ibrav = 0, nat = 4, ntyp = 3
/
ATOMIC_SPECIES
Cs 132.91 Cs.upf
Ca 40.08 Ca.upf
S 32.06 S.upf
CELL_PARAMETERS angstrom
6.2294 0.0000 0.0000
3.1147 5.3948 0.0000
3.1147 1.7983 5.0863
ATOMIC_POSITIONS angstrom
Cs 3.1147 1.7983 1.2716
Cs 9.3441 5.3948 3.8147
Ca 6.2294 3.5966 2.5432
S 0.0000 0.0000 0.0000
```

As for the space-group type: Fm-3m (225).



(3)
A plane-wave DFT calculation with meta-GGA SCAN was carried out for a PBEsol-optimized structure of SrPHS2. Values from VASP.

Cell and atoms, written as Quantum ESPRESSO input:
```
&SYSTEM
  ibrav = 0, nat = 5, ntyp = 4
/
ATOMIC_SPECIES
Sr 87.62 Sr.upf
H 1.01 H.upf
S 32.06 S.upf
P 30.97 P.upf
CELL_PARAMETERS angstrom
5.6868 0.0000 0.0000
0.0000 5.6868 0.0000
0.0000 0.0000 6.3830
ATOMIC_POSITIONS angstrom
Sr 0.0000 0.0000 0.0000
H 2.8434 2.8434 3.1915
S 2.8434 0.0000 0.0000
S 0.0000 2.8434 0.0000
P 0.0000 0.0000 3.1915
```

As for the space-group type: P4/mmm (123).



(4)
A plane-wave DFT calculation with meta-GGA SCAN was carried out for a PBEsol-optimized structure of YMgMo2. Values from VASP.

Cell and atoms, written as Quantum ESPRESSO input:
```
&SYSTEM
  ibrav = 0, nat = 4, ntyp = 3
/
ATOMIC_SPECIES
Y 88.91 Y.upf
Mo 95.94 Mo.upf
Mg 24.30 Mg.upf
CELL_PARAMETERS angstrom
-2.1489 -2.1198 2.5975
3.0918 -2.4462 0.5615
1.0602 5.0232 1.9240
ATOMIC_POSITIONS angstrom
Y 0.4715 -2.2830 1.5795
Mo -0.3086 0.3102 3.0505
Mo 2.3118 0.1470 2.0325
Mg 0.0000 0.0000 0.0000
```

As for the space-group type: I4/mmm (139). Its formation energy is 0.5276 eV per atom.



(5)
A plane-wave DFT calculation with meta-GGA SCAN was carried out for a PBEsol-optimized structure of MgZnCd2. Values from VASP.

Cell and atoms, written as Quantum ESPRESSO input:
```
&SYSTEM
  ibrav = 0, nat = 4, ntyp = 3
/
ATOMIC_SPECIES
Mg 24.30 Mg.upf
Zn 65.41 Zn.upf
Cd 112.41 Cd.upf
CELL_PARAMETERS angstrom
3.1044 0.0000 0.0000
-1.5522 4.7608 -0.0579
0.0000 -1.0047 5.2465
ATOMIC_POSITIONS angstrom
Mg 0.0000 4.2140 2.5075
Zn 1.5522 2.1327 1.2963
Cd 0.0000 1.6233 3.8885
Cd 0.0000 0.0445 0.0615
```

The excess energy over the best structure of this formula in the dataset comes out at 24 meV per atom. As for the space-group type: Cm (8). Its formation energy is -0.0188 eV per atom.



(6)
A plane-wave DFT calculation with meta-GGA SCAN was carried out for a PBEsol-optimized structure of ZnIrW2. Values from VASP.

Cell and atoms, written as Quantum ESPRESSO input:
```
&SYSTEM
  ibrav = 0, nat = 4, ntyp = 3
/
ATOMIC_SPECIES
W 183.84 W.upf
Zn 65.41 Zn.upf
Ir 192.22 Ir.upf
CELL_PARAMETERS angstrom
-3.7698 0.0987 0.9063
-0.7084 -2.7441 -2.6477
2.8182 -1.4413 3.5804
ATOMIC_POSITIONS angstrom
W -2.2391 -1.3227 -0.8707
W -1.5953 -1.3327 1.8080
Zn 0.0000 0.0000 0.0000
Ir -0.0646 -2.7540 0.0310
```

As for the space-group type: I-4m2 (119). Its formation energy is 0.1171 eV per atom.



(7)
A plane-wave DFT calculation with meta-GGA SCAN was carried out for a PBEsol-optimized structure of KPb2Cl. Values from VASP.

Cell and atoms, written as Quantum ESPRESSO input:
```
&SYSTEM
  ibrav = 0, nat = 4, ntyp = 3
/
ATOMIC_SPECIES
Cl 35.45 Cl.upf
K 39.10 K.upf
Pb 207.20 Pb.upf
CELL_PARAMETERS angstrom
-2.1823 3.5098 0.4435
-3.4593 -1.8811 -2.1355
-2.6272 -2.4432 6.4079
ATOMIC_POSITIONS angstrom
Cl -2.4047 0.5333 3.4257
K -3.0432 -2.1621 2.1362
Pb 0.0000 0.0000 0.0000
Pb -2.8208 0.8144 -0.8460
```

The excess energy over the best structure of this formula in the dataset comes out at 0 meV per atom. As for the space-group type: Pmmm (47).



(8)
A plane-wave DFT calculation with meta-GGA SCAN was carried out for a PBEsol-optimized structure of BaCuN2O. Values from VASP.

Cell and atoms, written as Quantum ESPRESSO input:
```
&SYSTEM
  ibrav = 0, nat = 5, ntyp = 4
/
ATOMIC_SPECIES
N 14.01 N.upf
Cu 63.55 Cu.upf
Ba 137.33 Ba.upf
O 16.00 O.upf
CELL_PARAMETERS angstrom
-1.3523 3.4938 -1.0375
-3.2044 -0.6126 2.1139
1.9263 1.7645 3.4313
ATOMIC_POSITIONS angstrom
N -1.6022 -0.3063 1.0570
N -0.6762 1.7469 -0.5187
Cu 0.0000 0.0000 0.0000
Ba -1.3152 2.3228 2.2539
O 0.9631 0.8822 1.7156
```

As for the space-group type: P4/mmm (123).



(9)
A plane-wave DFT calculation with meta-GGA SCAN was carried out for a PBEsol-optimized structure of Rb2FeH12S2O14. Values from VASP.

Cell and atoms, written as Quantum ESPRESSO input:
```
&SYSTEM
  ibrav = 0, nat = 62, ntyp = 5
/
ATOMIC_SPECIES
O 16.00 O.upf
H 1.01 H.upf
S 32.06 S.upf
Fe 55.84 Fe.upf
Rb 85.47 Rb.upf
CELL_PARAMETERS angstrom
6.2418 0.0417 0.0000
-2.3847 8.7631 0.0000
0.0000 0.0000 12.2923
ATOMIC_POSITIONS angstrom
O -0.8163 8.3978 5.2589
O 3.1103 2.4061 11.4420
O 4.6734 0.4070 7.0334
O 2.3703 0.7853 3.2644
O 4.3885 2.9599 4.7036
O -0.6699 2.8141 7.5571
O 3.1962 7.3415 1.4426
O 0.7469 6.3986 0.8503
O 4.9793 3.3184 10.1510
O 2.6791 3.6379 9.4105
O 3.7869 7.7000 8.2874
O -0.5313 5.8449 7.5888
O 0.6610 1.4633 10.8497
O -1.8622 7.1956 10.8814
O 4.3924 0.0940 11.4479
O 0.6570 4.3292 5.3018
O -0.5353 8.7108 0.8444
O 1.1780 5.1669 2.8818
O 0.0702 1.1048 4.0049
O 0.3761 4.0162 0.8873
O 3.4811 4.7886 11.4050
O 5.7194 1.6092 1.4109
O 4.5270 5.9907 4.7352
O 3.2001 4.4756 6.9906
O 1.4868 8.0195 9.0279
O 1.9392 2.0171 5.2958
O -1.1221 5.4864 2.1413
O 1.9179 6.7877 6.9965
H 3.0869 4.1739 7.9422
H 2.6908 5.3350 6.9113
H 4.1180 7.4476 9.9386
H 5.0799 2.2546 4.5714
H 0.7703 4.6309 4.3501
H 3.8876 6.6361 1.5747
H 3.8831 0.9535 11.5272
H 2.3375 6.9053 1.1632
H 1.5197 1.8995 11.1291
H -0.2608 1.3572 2.3538
H 1.1664 3.4698 5.3810
H 5.3103 3.0660 8.4999
H 0.3273 6.2810 7.3094
H -1.2228 6.5502 7.7209
H 1.9626 0.2494 1.7960
H -1.4531 5.7388 3.7924
H -0.0305 2.1686 10.7176
H -1.3370 6.8587 4.9308
H 4.0018 6.3277 11.0770
H -0.0260 7.8513 0.7651
H 1.8945 8.5554 10.4963
H -0.1447 2.4771 1.2153
H 3.5298 2.5238 4.9829
H 5.1942 1.9461 7.3615
S 3.5724 3.5520 10.5972
S 2.3801 7.9336 7.8413
S 0.2847 5.2528 1.6951
S 1.4771 0.8712 4.4510
Fe 0.0000 0.0000 0.0000
Fe -1.1923 4.3816 6.1462
Rb 1.8094 1.1567 8.0251
Rb 3.2401 3.2666 1.8790
Rb 0.6171 5.5382 10.4134
Rb 2.0477 7.6481 4.2672
```

As for the space-group type: P2_1/c (14).



(10)
A plane-wave DFT calculation with meta-GGA SCAN was carried out for a PBEsol-optimized structure of Hf2NbHPd. Values from VASP.

Cell and atoms, written as Quantum ESPRESSO input:
```
&SYSTEM
  ibrav = 0, nat = 5, ntyp = 4
/
ATOMIC_SPECIES
H 1.01 H.upf
Hf 178.49 Hf.upf
Pd 106.42 Pd.upf
Nb 92.91 Nb.upf
CELL_PARAMETERS angstrom
3.1619 0.0000 0.0000
0.0000 5.2383 0.0000
0.0000 0.0000 5.2383
ATOMIC_POSITIONS angstrom
H 1.5809 0.0000 0.0000
Hf 0.0000 0.0000 2.6191
Hf 0.0000 2.6191 0.0000
Pd 0.0000 0.0000 0.0000
Nb 1.5809 2.6191 2.6191
```

As for the space-group type: P4/mmm (123).



(11)
A plane-wave DFT calculation with meta-GGA SCAN was carried out for a PBEsol-optimized structure of YBe2Co. Values from VASP.

Cell and atoms, written as Quantum ESPRESSO input:
```
&SYSTEM
  ibrav = 0, nat = 4, ntyp = 3
/
ATOMIC_SPECIES
Be 9.01 Be.upf
Co 58.93 Co.upf
Y 88.91 Y.upf
CELL_PARAMETERS angstrom
4.2043 0.0000 0.0000
2.1021 3.6410 0.0000
2.1021 1.2137 3.4328
ATOMIC_POSITIONS angstrom
Be 6.3064 3.6410 2.5746
Be 2.1021 1.2137 0.8582
Co 0.0000 0.0000 0.0000
Y 4.2043 2.4273 1.7164
```

The excess energy over the best structure of this formula in the dataset comes out at 349 meV per atom. As for the space-group type: Fm-3m (225). Its formation energy is 0.1961 eV per atom.



What are the energy values for these records? In order: -357.5 -95.7 -50.8 -100.5 -79.4 -223.5 -170.8 -79.3 -502.4 -192.7 -53.1 eV/cell.